A plane-wave DFT calculation with PBE was carried out for a relaxed RbTe2ICl crystal.

energy above the most stable polymorph in this dataset = 0.678 eV/atom
theoretical density = 2.31 Mg/m³
SG = No. 123
energy relative to the elements, uncorrected = 0.5427 eV per atom

Cell: 7.326 7.326 6.739 Å, 90.00 90.00 90.00°
Element x y z (fractional)
1 Te 0.000 0.500 0.000
2 Te 0.500 0.000 0.000
3 I 0.000 0.000 0.500
4 Rb 0.000 0.000 0.000
5 Cl 0.500 0.500 0.500


A plane-wave DFT calculation with PBE was carried out for a relaxed Mg3BMo crystal.

energy above the most stable polymorph in this dataset = 0.000 eV/atom
theoretical density = 3.42 Mg/m³
SG = No. 221

Cell: 4.435 4.435 4.435 Å, 90.00 90.00 90.00°
Element x y z (fractional)
1 B 0.000 0.000 0.000
2 Mo 0.500 0.500 0.500
3 Mg 0.000 0.000 0.500
4 Mg 0.000 0.500 0.000
5 Mg 0.500 0.000 0.000


A plane-wave DFT calculation with PBE was carried out for a relaxed InAgRh2 crystal.

theoretical density = 10.51 Mg/m³
SG = No. 65
total energy = -0.1809 Ha/atom

Cell: 2.883 2.883 8.897 Å, 90.00 90.00 113.72°
Element x y z (fractional)
1 In 0.500 0.500 0.000
2 Rh 0.000 0.000 0.759
3 Rh 0.000 0.000 0.241
4 Ag 0.500 0.500 0.500


A plane-wave DFT calculation with PBE was carried out for a relaxed PuZr2UN4 crystal.

theoretical density = 11.18 Mg/m³
SG = No. 10
energy relative to the elements, uncorrected = -1.5394 eV per atom

Cell: 3.343 5.857 5.787 Å, 70.78 90.00 90.00°
Element x y z (fractional)
1 Pu 0.000 0.500 0.500
2 Zr 0.500 0.000 0.500
3 Zr 0.000 0.000 0.000
4 N 0.500 0.237 0.762
5 N 0.000 0.761 0.753
6 N 0.500 0.763 0.238
7 N 0.000 0.239 0.247
8 U 0.500 0.500 0.000


A plane-wave DFT calculation with PBE was carried out for a relaxed Nd2UMn2C4 crystal.

theoretical density = 8.81 Mg/m³
SG = No. 12
total energy = -0.3126 Ha/atom

Cell: 3.428 6.770 6.060 Å, 107.85 90.00 104.66°
Element x y z (fractional)
1 Nd 0.136 0.272 0.545
2 Nd 0.864 0.728 0.455
3 Mn 0.685 0.369 0.002
4 Mn 0.315 0.631 0.998
5 C 0.460 0.920 0.221
6 C 0.540 0.080 0.779
7 C 0.783 0.565 0.817
8 C 0.217 0.435 0.183
9 U 0.000 0.000 0.000


A plane-wave DFT calculation with PBE was carried out for a relaxed Y6Er3Tm crystal.

energy above the most stable polymorph in this dataset = 0.000 eV/atom
theoretical density = 6.27 Mg/m³
SG = No. 36

Cell: 6.362 11.485 11.485 Å, 130.50 90.00 90.00°
Element x y z (fractional)
1 Er 0.490 0.295 0.041
2 Er 0.490 0.959 0.705
3 Er 0.093 0.419 0.581
4 Er 0.593 0.581 0.419
5 Er 0.990 0.041 0.295
6 Er 0.990 0.705 0.959
7 Y 0.826 0.896 0.458
8 Y 0.326 0.104 0.542
9 Y 0.069 0.378 0.258
10 Y 0.785 0.300 0.700
11 Y 0.285 0.700 0.300
12 Y 0.569 0.258 0.378
13 Y 0.819 0.015 0.985
14 Y 0.319 0.985 0.015
15 Y 0.569 0.622 0.742
16 Y 0.069 0.742 0.622
17 Y 0.826 0.542 0.104
18 Y 0.326 0.458 0.896
19 Tm 0.519 0.840 0.160
20 Tm 0.019 0.160 0.840


A plane-wave DFT calculation with PBE was carried out for a relaxed SrTaTl3 crystal.

energy above the most stable polymorph in this dataset = 0.000 eV/atom
theoretical density = 8.88 Mg/m³
SG = No. 221

Cell: 5.483 5.483 5.483 Å, 90.00 90.00 90.00°
Element x y z (fractional)
1 Tl 0.500 0.000 0.000
2 Tl 0.000 0.000 0.500
3 Tl 0.000 0.500 0.000
4 Sr 0.500 0.500 0.500
5 Ta 0.000 0.000 0.000


A plane-wave DFT calculation with PBE was carried out for a relaxed Th2Si3Ni12Pt crystal.

theoretical density = 9.50 Mg/m³
SG = No. 166
energy relative to the elements, uncorrected = -0.1211 eV per atom

Cell: 6.352 6.352 6.352 Å, 84.72 84.72 84.72°
Element x y z (fractional)
1 Th 0.336 0.336 0.336
2 Th 0.664 0.664 0.664
3 Ni 0.308 0.808 0.808
4 Ni 0.615 0.101 0.615
5 Ni 0.101 0.615 0.615
6 Ni 0.385 0.385 0.899
7 Ni 0.615 0.615 0.101
8 Ni 0.808 0.808 0.308
9 Ni 0.385 0.899 0.385
10 Ni 0.692 0.192 0.192
11 Ni 0.192 0.692 0.192
12 Ni 0.192 0.192 0.692
13 Ni 0.808 0.308 0.808
14 Ni 0.899 0.385 0.385
15 Pt 0.000 0.000 0.000
16 Si 0.000 0.000 0.500
17 Si 0.500 0.000 0.000
18 Si 0.000 0.500 0.000


A plane-wave DFT calculation with PBE was carried out for a relaxed Be2RhBr crystal.

energy above the most stable polymorph in this dataset = 0.170 eV/atom
theoretical density = 5.17 Mg/m³
SG = No. 99
energy relative to the elements, uncorrected = -0.0144 eV per atom

Cell: 3.116 3.116 6.645 Å, 90.00 90.00 90.03°
Element x y z (fractional)
1 Rh 0.500 0.500 0.900
2 Be 0.000 0.000 0.990
3 Be 0.500 0.500 0.215
4 Br 0.000 0.000 0.395


A plane-wave DFT calculation with PBE was carried out for a relaxed Pr4Ga2O crystal.

energy above the most stable polymorph in this dataset = 0.000 eV/atom
theoretical density = 6.36 Mg/m³
SG = No. 139
energy relative to the elements, uncorrected = -1.0592 eV per atom

Cell: 4.817 4.817 8.781 Å, 105.92 105.92 90.00°
Element x y z (fractional)
1 Pr 0.000 0.500 0.000
2 Pr 0.823 0.823 0.646
3 Pr 0.177 0.177 0.354
4 Pr 0.500 0.000 0.000
5 Ga 0.365 0.365 0.731
6 Ga 0.635 0.635 0.269
7 O 0.000 0.000 0.000


Q: Which formula does entry 1 have?
A: RbTe2ICl